Crystalline TaBe4 at its relaxed geometry. Source: the Alexandria database, functional PBE.

Cell: 4.4377 4.4377 4.4377 Å, 90.00 90.00 90.00°
With the nearest neighbours (Å) after each atom.
Atoms (fractional coordinates):
Be: 0.5000 0.5000 0.0000  2 Ta 2.22
Be: 0.0000 0.0000 0.0000  12 Be 3.14
Be: 0.0000 0.5000 0.5000  2 Ta 2.22
Be: 0.5000 0.0000 0.5000  2 Ta 2.22
Ta: 0.5000 0.5000 0.5000  6 Be 2.22

Results
The calculation puts the density of states at the Fermi level at 1.63 states/eV/cell. The space-group type is Pm-3m, No. 221. The calculation puts the polymorph energy (0 for the lowest one) at 2204 meV per atom. The formation energy is 1.997 eV per atom.